## CaTaAg2 (SCAN)

Data for a PBEsol-optimized structure of CaTaAg2.

Summary:
**E_form**: 0.29 eV/atom
**M_tot**: 0.00 μB/f.u.
**Calculated total energy**: -34.460 eV per atom
**ΔE to the lowest computed polymorph**: 1.4 kJ/mol of atoms
**Density of states at the Fermi level**: 1.9 states/eV/f.u.

Cell and atoms, written as extended XYZ:
```
4
Lattice="-2.121 1.432 -1.423 1.692 -1.783 -4.318 -3.125 -4.144 0.487" Properties=species:S:1:pos:R:3 pbc="T T T"
Ca -2.860 -1.670 -0.431
Ag -1.307 -3.747 -1.824
Ag -0.215 -0.284 0.033
Ta -0.735 -0.866 -2.789
```